No. 1
Entry from Alexandria: an optimized crystal structure of Hg2GeTe4Au (PBE).

Lattice parameters (Å, degrees): 6.5502 6.5502 13.0475 90.00 90.00 90.00
Element x y z (fractional)
Hg1 0.0000 0.5000 0.2500
Hg2 0.0000 0.5000 0.7500
Hg3 0.5000 0.0000 0.2500
Hg4 0.5000 0.0000 0.7500
Ge1 0.0000 0.0000 0.0000
Ge2 0.5000 0.5000 0.5000
Te1 0.2477 0.2477 0.6180
Te2 0.2477 0.7523 0.3820
Te3 0.2523 0.2523 0.1180
Te4 0.2523 0.7477 0.8820
Te5 0.7477 0.2523 0.8820
Te6 0.7477 0.7477 0.1180
Te7 0.7523 0.2477 0.3820
Te8 0.7523 0.7523 0.6180
Au1 0.0000 0.0000 0.5000
Au2 0.5000 0.5000 0.0000

Computed properties:
The value obtained for the magnetic moment is 0.0 μB per cell. The formation energy (no corrections) is -0.067 eV/atom. The calculation puts the raw total energy at -0.198 Ry/atom. Its density is 7.007 g cm⁻³.

---

No. 2
Entry from Alexandria: an optimized crystal structure of Ti2HgGeAu (PBE).

Lattice parameters (Å, degrees): 5.0764 5.0764 4.8425 90.00 90.00 90.00
Element x y z (fractional)
Ti1 0.0000 0.5000 0.0000
Ti2 0.5000 0.0000 0.0000
Hg1 0.0000 0.0000 0.0000
Ge1 0.0000 0.0000 0.5000
Au1 0.5000 0.5000 0.5000

Computed properties:
Its energy relative to the elements is 1.14 eV/atom. The value obtained for the magnetic moment is 0.0 μB per cell. The calculation puts the raw total energy at -0.269 Ry/atom. Its density is 7.531 g cm⁻³.

---

No. 3
Entry from Alexandria: an optimized crystal structure of TlHgGeAu3 (PBE).

Lattice parameters (Å, degrees): 9.3860 9.3860 5.7659 90.00 90.00 141.84
Element x y z (fractional)
Tl1 0.2490 0.7510 0.7500
Tl2 0.7510 0.2490 0.2500
Hg1 0.1259 0.8741 0.2500
Hg2 0.8741 0.1259 0.7500
Ge1 0.4234 0.5766 0.2500
Ge2 0.5766 0.4234 0.7500
Au1 0.2291 0.2291 0.0000
Au2 0.2291 0.2291 0.5000
Au3 0.2824 0.7176 0.2500
Au4 0.7176 0.2824 0.7500
Au5 0.7709 0.7709 0.0000
Au6 0.7709 0.7709 0.5000

Computed properties:
Its energy relative to the elements is 0.04 eV/atom. The value obtained for the magnetic moment is 0.0 μB per cell. The calculation puts the raw total energy at -0.207 Ry/atom. Its density is 11.308 g cm⁻³.

---

No. 4
Entry from Alexandria: an optimized crystal structure of UHgGeAu (PBE).

Lattice parameters (Å, degrees): 7.0108 7.0108 7.0108 90.00 90.00 90.00
Element x y z (fractional)
U1 0.0000 0.0000 0.0000
U2 0.0000 0.5000 0.5000
U3 0.5000 0.0000 0.5000
U4 0.5000 0.5000 0.0000
Hg1 0.0000 0.0000 0.5000
Hg2 0.0000 0.5000 0.0000
Hg3 0.5000 0.0000 0.0000
Hg4 0.5000 0.5000 0.5000
Ge1 0.2500 0.2500 0.7500
Ge2 0.2500 0.7500 0.2500
Ge3 0.7500 0.2500 0.2500
Ge4 0.7500 0.7500 0.7500
Au1 0.2500 0.2500 0.2500
Au2 0.2500 0.7500 0.7500
Au3 0.7500 0.2500 0.7500
Au4 0.7500 0.7500 0.2500

Computed properties:
Its energy relative to the elements is -0.03 eV/atom. The value obtained for the magnetic moment is 11.4 μB per cell. The calculation puts the raw total energy at -0.360 Ry/atom. Its density is 13.651 g cm⁻³.

---

No. 5
Entry from Alexandria: an optimized crystal structure of YHgGeAu (PBE).

Lattice parameters (Å, degrees): 7.0477 7.0477 7.0477 90.00 90.00 90.00
Element x y z (fractional)
Y1 0.0000 0.0000 0.0000
Y2 0.0000 0.5000 0.5000
Y3 0.5000 0.0000 0.5000
Y4 0.5000 0.5000 0.0000
Hg1 0.2500 0.2500 0.2500
Hg2 0.2500 0.7500 0.7500
Hg3 0.7500 0.2500 0.7500
Hg4 0.7500 0.7500 0.2500
Ge1 0.0000 0.0000 0.5000
Ge2 0.0000 0.5000 0.0000
Ge3 0.5000 0.0000 0.0000
Ge4 0.5000 0.5000 0.5000
Au1 0.2500 0.2500 0.7500
Au2 0.2500 0.7500 0.2500
Au3 0.7500 0.2500 0.2500
Au4 0.7500 0.7500 0.7500

Computed properties:
Its energy relative to the elements is -0.39 eV/atom. The value obtained for the magnetic moment is 0.0 μB per cell. The calculation puts the raw total energy at -0.298 Ry/atom. Its density is 10.609 g cm⁻³.

---

No. 6
Entry from Alexandria: an optimized crystal structure of HoGeAu2 (PBE).

Lattice parameters (Å, degrees): 4.3668 4.3668 4.2509 90.00 90.00 90.00
Element x y z (fractional)
Ho1 0.0000 0.0000 0.0000
Ge1 0.5000 0.5000 0.0000
Au1 0.0000 0.5000 0.5000
Au2 0.5000 0.0000 0.5000

Computed properties:
Its energy relative to the elements is -0.52 eV/atom. The value obtained for the magnetic moment is 0.0 μB per cell. The calculation puts the raw total energy at -0.328 Ry/atom. Its density is 12.937 g cm⁻³.

---

No. 7
Entry from Alexandria: an optimized crystal structure of Ho4Ge3Au (PBE).

Lattice parameters (Å, degrees): 4.0778 4.1803 10.8591 90.00 90.00 90.00
Element x y z (fractional)
Ho1 0.0000 0.0000 0.0000
Ho2 0.0000 0.5000 0.4960
Ho3 0.5000 0.0000 0.7209
Ho4 0.5000 0.5000 0.2225
Ge1 0.0000 0.0000 0.2711
Ge2 0.5000 0.0000 0.4445
Ge3 0.5000 0.5000 0.9478
Au1 0.0000 0.5000 0.7749

Computed properties:
Its energy relative to the elements is -0.85 eV/atom. The value obtained for the magnetic moment is 0.0 μB per cell. The calculation puts the raw total energy at -0.388 Ry/atom. Its density is 9.640 g cm⁻³.

---

No. 8
Entry from Alexandria: an optimized crystal structure of HoGeAu2 (PBE).

Lattice parameters (Å, degrees): 6.8806 6.8806 6.8806 90.00 90.00 90.00
Element x y z (fractional)
Ho1 0.0000 0.0000 0.0000
Ho2 0.0000 0.5000 0.5000
Ho3 0.5000 0.0000 0.5000
Ho4 0.5000 0.5000 0.0000
Ge1 0.0000 0.0000 0.5000
Ge2 0.0000 0.5000 0.0000
Ge3 0.5000 0.0000 0.0000
Ge4 0.5000 0.5000 0.5000
Au1 0.2500 0.2500 0.2500
Au2 0.2500 0.2500 0.7500
Au3 0.2500 0.7500 0.2500
Au4 0.2500 0.7500 0.7500
Au5 0.7500 0.2500 0.2500
Au6 0.7500 0.2500 0.7500
Au7 0.7500 0.7500 0.2500
Au8 0.7500 0.7500 0.7500

Computed properties:
Its energy relative to the elements is -0.56 eV/atom. The value obtained for the magnetic moment is 0.0 μB per cell. The calculation puts the raw total energy at -0.331 Ry/atom. Its density is 12.877 g cm⁻³.

---

No. 9
Entry from Alexandria: an optimized crystal structure of HoGeAu (PBE).

Lattice parameters (Å, degrees): 4.4705 4.4705 7.2763 90.00 90.00 120.00
Element x y z (fractional)
Ho1 0.0000 0.0000 0.0000
Ho2 0.0000 0.0000 0.5000
Ge1 0.3333 0.6667 0.2073
Ge2 0.6667 0.3333 0.7073
Au1 0.3333 0.6667 0.7918
Au2 0.6667 0.3333 0.2918

Computed properties:
Its energy relative to the elements is -0.82 eV/atom. The value obtained for the magnetic moment is 0.0 μB per cell. The calculation puts the raw total energy at -0.366 Ry/atom. Its density is 11.459 g cm⁻³.

---

No. 10
Entry from Alexandria: an optimized crystal structure of HoGe3Au3 (PBE).

Lattice parameters (Å, degrees): 7.0487 7.0487 7.0487 90.00 90.00 90.00
Element x y z (fractional)
Ho1 0.0000 0.0000 0.0000
Ho2 0.5000 0.5000 0.5000
Ge1 0.0000 0.2500 0.5000
Ge2 0.0000 0.7500 0.5000
Ge3 0.2500 0.5000 0.0000
Ge4 0.5000 0.0000 0.2500
Ge5 0.5000 0.0000 0.7500
Ge6 0.7500 0.5000 0.0000
Au1 0.0000 0.5000 0.2500
Au2 0.0000 0.5000 0.7500
Au3 0.2500 0.0000 0.5000
Au4 0.5000 0.2500 0.0000
Au5 0.5000 0.7500 0.0000
Au6 0.7500 0.0000 0.5000

Computed properties:
Its energy relative to the elements is 0.11 eV/atom. The value obtained for the magnetic moment is 0.0 μB per cell. The calculation puts the raw total energy at -0.288 Ry/atom. Its density is 9.234 g cm⁻³.

---

No. 11
Entry from Alexandria: an optimized crystal structure of HoGe2Au (PBE).

Lattice parameters (Å, degrees): 5.1297 5.1297 10.9040 90.00 90.00 120.00
Element x y z (fractional)
Ho1 0.0000 0.0000 0.0000
Ho2 0.3333 0.6667 0.6667
Ho3 0.6667 0.3333 0.3333
Ge1 0.0000 0.0000 0.2620
Ge2 0.0000 0.0000 0.7380
Ge3 0.3333 0.6667 0.4047
Ge4 0.3333 0.6667 0.9287
Ge5 0.6667 0.3333 0.0713
Ge6 0.6667 0.3333 0.5953
Au1 0.0000 0.0000 0.5000
Au2 0.3333 0.6667 0.1667
Au3 0.6667 0.3333 0.8333

Computed properties:
The energy above the most stable polymorph in this dataset comes out at 210 meV per atom. Its energy relative to the elements is -0.29 eV/atom. The value obtained for the magnetic moment is 0.0 μB per cell. The calculation puts the raw total energy at -0.335 Ry/atom. Its density is 10.168 g cm⁻³.

---

No. 12
Entry from Alexandria: an optimized crystal structure of HoGeAu4 (PBE).

Lattice parameters (Å, degrees): 5.5760 5.5760 5.5760 60.00 60.00 60.00
Element x y z (fractional)
Ho1 0.0000 0.0000 0.0000
Ge1 0.7500 0.7500 0.7500
Au1 0.3750 0.3750 0.3750
Au2 0.3750 0.3750 0.8750
Au3 0.3750 0.8750 0.3750
Au4 0.8750 0.3750 0.3750

Computed properties:
Its energy relative to the elements is -0.30 eV/atom. The value obtained for the magnetic moment is 0.0 μB per cell. The calculation puts the raw total energy at -0.295 Ry/atom. Its density is 13.890 g cm⁻³.

---

No. 13
Entry from Alexandria: an optimized crystal structure of Ho3Ge3Au (PBE).

Lattice parameters (Å, degrees): 5.7819 5.7819 13.9288 108.22 108.22 43.94
Element x y z (fractional)
Ho1 0.0263 0.0263 0.3761
Ho2 0.1041 0.1041 0.9252
Ho3 0.2373 0.2373 0.2225
Ho4 0.7627 0.7627 0.7775
Ho5 0.8959 0.8959 0.0748
Ho6 0.9737 0.9737 0.6239
Ge1 0.3729 0.3729 0.4540
Ge2 0.3797 0.3797 0.9254
Ge3 0.4835 0.4835 0.7753
Ge4 0.5165 0.5165 0.2247
Ge5 0.6203 0.6203 0.0746
Ge6 0.6271 0.6271 0.5460
Au1 0.2632 0.2632 0.6121
Au2 0.7368 0.7368 0.3879

Computed properties:
Its energy relative to the elements is -0.82 eV/atom. The value obtained for the magnetic moment is 0.0 μB per cell. The calculation puts the raw total energy at -0.384 Ry/atom. Its density is 9.930 g cm⁻³.